Crystalline TlCuH2 at its relaxed geometry. Source: Alexandria via LeMat-Bulk, functional PBE.

Calculated values
- Spin magnetization: 0.0 μB/f.u.
- DFT total energy: -2.45 eV per atom
- DOS at the Fermi energy: 1.398 states/eV/cell
- E above lowest polymorph: 645.0 meV per atom

Unit cell a=4.1033 b=4.1033 c=4.1033 alpha=60.00 beta=60.00 gamma=60.00
Sites, in units of the cell vectors:
1 Cu 0.0000 0.0000 0.0000
2 H 0.2500 0.2500 0.2500
3 Tl 0.5000 0.5000 0.5000
4 H 0.7500 0.7500 0.7500


Crystalline TlCu2H2 at its relaxed geometry. Source: Alexandria via LeMat-Bulk, functional PBE.

Calculated values
- Spin magnetization: 0.0 μB/f.u.
- DFT total energy: -3.22 eV per atom
- DOS at the Fermi energy: 1.163 states/eV/cell

Unit cell a=3.5101 b=3.5101 c=6.4605 alpha=74.24 beta=74.24 gamma=90.00
Sites, in units of the cell vectors:
1 H 0.7500 0.2500 0.5000
2 H 0.2500 0.7500 0.5000
3 Cu 0.2536 0.2536 0.4928
4 Tl 0.0000 0.0000 0.0000
5 Cu 0.7464 0.7464 0.5072


Crystalline TlCu2H at its relaxed geometry. Source: Alexandria via LeMat-Bulk, functional PBE.

Calculated values
- Spin magnetization: 0.0 μB/f.u.
- DFT total energy: -3.23 eV per atom
- DOS at the Fermi energy: 1.937 states/eV/cell
- E above lowest polymorph: 0.0 meV per atom

Unit cell a=5.1564 b=5.1564 c=5.6020 alpha=62.60 beta=62.60 gamma=90.00
Sites, in units of the cell vectors:
1 Cu 0.8750 0.6553 0.7500
2 H 0.2500 0.7500 0.5000
3 Tl 0.7500 0.2500 0.5000
4 Cu 0.4053 0.1250 0.2500
5 H 0.5000 0.5000 0.0000
6 Cu 0.3750 0.5947 0.7500
7 Tl 0.0000 0.0000 0.0000
8 Cu 0.3447 0.6250 0.2500


Crystalline TlCu2H at its relaxed geometry. Source: Alexandria via LeMat-Bulk, functional PBE.

Calculated values
- Spin magnetization: 0.0 μB/f.u.
- DFT total energy: -2.70 eV per atom
- DOS at the Fermi energy: 1.310 states/eV/cell
- E above lowest polymorph: 528.9 meV per atom

Unit cell a=4.3660 b=4.3660 c=4.3660 alpha=60.00 beta=60.00 gamma=60.00
Sites, in units of the cell vectors:
1 Tl 0.5000 0.5000 0.5000
2 H 0.0000 0.0000 0.0000
3 Cu 0.7500 0.7500 0.7500
4 Cu 0.2500 0.2500 0.2500


Crystalline Tl3Cu5H12 at its relaxed geometry. Source: Alexandria via LeMat-Bulk, functional PBE.

Calculated values
- Spin magnetization: 0.0 μB/f.u.
- DFT total energy: -3.02 eV per atom
- DOS at the Fermi energy: 27.112 states/eV/cell

Unit cell a=10.4155 b=10.4155 c=10.4155 alpha=109.47 beta=109.47 gamma=109.47
Sites, in units of the cell vectors:
1 Cu 0.8750 0.6250 0.7500
2 H 0.1873 0.1043 0.0249
3 Cu 0.7500 0.6250 0.3750
4 Cu 0.7500 0.1250 0.8750
5 H 0.4751 0.3127 0.8957
6 Cu 0.0000 0.5000 0.0000
7 Tl 0.1250 0.2500 0.8750
8 H 0.4169 0.0794 0.6043
9 H 0.1043 0.9169 0.0794
10 Tl 0.8750 0.1250 0.2500
11 H 0.0794 0.4169 0.1043
12 H 0.4169 0.3375 0.3127
13 Cu 0.5000 0.0000 0.0000
14 H 0.6043 0.0249 0.6873
15 H 0.8957 0.0831 0.9206
16 Cu 0.8750 0.2500 0.6250
17 Tl 0.1250 0.8750 0.7500
18 H 0.9206 0.5831 0.8957
19 H 0.1625 0.6873 0.0831
20 H 0.6873 0.1625 0.5831
21 H 0.8375 0.3127 0.9169
22 H 0.4751 0.1625 0.0794
23 H 0.3127 0.4751 0.3957
24 H 0.9751 0.3957 0.8127
25 H 0.0831 0.1873 0.1625
26 H 0.3375 0.4169 0.8127
27 H 0.6873 0.5249 0.6043
28 H 0.4206 0.0249 0.8375
29 H 0.5831 0.6625 0.6873
30 Cu 0.0000 0.0000 0.0000
31 Tl 0.3750 0.7500 0.6250
32 H 0.0831 0.8957 0.4206
33 H 0.3957 0.9751 0.3127
34 H 0.5794 0.6043 0.9169
35 Tl 0.7500 0.8750 0.6250
36 H 0.1625 0.4751 0.5794
37 H 0.1043 0.1873 0.5249
38 Cu 0.5000 0.0000 0.5000
39 H 0.8957 0.8127 0.4751
40 Cu 0.3750 0.1250 0.7500
41 H 0.9751 0.5794 0.6625
42 H 0.1873 0.0831 0.6625
43 H 0.9206 0.3375 0.5249
44 H 0.0249 0.6043 0.1873
45 H 0.0794 0.6625 0.4751
46 H 0.9169 0.8127 0.8375
47 H 0.6625 0.5831 0.1873
48 Cu 0.6250 0.7500 0.8750
49 H 0.4206 0.3957 0.0831
50 Tl 0.3750 0.6250 0.2500
51 H 0.6625 0.0794 0.9751
52 Cu 0.2500 0.3750 0.6250
53 Cu 0.2500 0.8750 0.1250
54 H 0.5249 0.8375 0.9206
55 Tl 0.2500 0.1250 0.3750
56 H 0.3957 0.4206 0.5831
57 Cu 0.1250 0.7500 0.3750
58 H 0.8127 0.8957 0.9751
59 H 0.5794 0.9751 0.1625
60 Cu 0.1250 0.3750 0.2500
61 H 0.8127 0.9169 0.3375
62 H 0.3127 0.8375 0.4169
63 Tl 0.7500 0.3750 0.1250
64 Tl 0.8750 0.7500 0.1250
65 H 0.9169 0.1043 0.5794
66 Cu 0.3750 0.2500 0.1250
67 H 0.0249 0.4206 0.3375
68 H 0.5831 0.9206 0.3957
69 Tl 0.6250 0.2500 0.3750
70 Cu 0.0000 0.0000 0.5000
71 H 0.3375 0.9206 0.0249
72 Cu 0.6250 0.8750 0.2500
73 Cu 0.5000 0.5000 0.0000
74 Tl 0.6250 0.3750 0.7500
75 H 0.5249 0.6873 0.1043
76 Cu 0.0000 0.5000 0.5000
77 H 0.8375 0.5249 0.4206
78 H 0.6043 0.5794 0.4169
79 Cu 0.5000 0.5000 0.5000
80 Tl 0.2500 0.6250 0.8750


Crystalline TlCuH2 at its relaxed geometry. Source: Alexandria via LeMat-Bulk, functional PBE.

Calculated values
- Spin magnetization: 0.0 μB/f.u.
- DFT total energy: -3.10 eV per atom
- DOS at the Fermi energy: 0.000 states/eV/cell
- E above lowest polymorph: 0.0 meV per atom

Unit cell a=5.3956 b=5.3956 c=5.3977 alpha=60.01 beta=60.01 gamma=90.00
Sites, in units of the cell vectors:
1 Cu 0.5000 0.5000 0.0000
2 Tl 0.0000 0.0000 0.0000
3 H 0.3878 0.6250 0.2500
4 H 0.8750 0.6122 0.7500
5 H 0.3750 0.6378 0.7500
6 Tl 0.7500 0.2500 0.5000
7 H 0.3622 0.1250 0.2500
8 Cu 0.2500 0.7500 0.5000


Crystalline TlCuH2 at its relaxed geometry. Source: Alexandria via LeMat-Bulk, functional PBE.

Calculated values
- Spin magnetization: 0.0 μB/f.u.
- DFT total energy: -2.88 eV per atom
- DOS at the Fermi energy: 1.764 states/eV/cell
- E above lowest polymorph: 220.9 meV per atom

Unit cell a=3.0617 b=3.0617 c=6.4514 alpha=76.27 beta=76.27 gamma=60.00
Sites, in units of the cell vectors:
1 Cu 0.0000 0.0000 0.0000
2 Tl 0.5000 0.5000 0.5000
3 H 0.7083 0.7083 0.8751
4 H 0.2917 0.2917 0.1249


Crystalline TlVCuH2 at its relaxed geometry. Source: Alexandria via LeMat-Bulk, functional PBE.

Calculated values
- Spin magnetization: 0.0 μB/f.u.
- DFT total energy: -3.56 eV per atom
- DOS at the Fermi energy: 4.249 states/eV/cell

Unit cell a=3.7497 b=4.9820 c=3.7497 alpha=90.00 beta=90.00 gamma=90.00
Sites, in units of the cell vectors:
1 H 0.0000 0.0000 0.5000
2 V 0.0000 0.5000 0.0000
3 Cu 0.0000 0.0000 0.0000
4 Tl 0.5000 0.5000 0.5000
5 H 0.5000 0.0000 0.0000